## Ho2BeC (PBE)

Data for a relaxed Ho2BeC crystal.

Unit cell a=3.4910 b=3.4910 c=8.8269 alpha=78.59 beta=78.59 gamma=60.00
With the nearest neighbours (Å) after each atom.
Positions (direct):
Be 0.0000 0.0000 0.0000  2 Ho 2.97
C 0.5000 0.5000 0.5000  6 Ho 2.41
Ho 0.1151 0.1151 0.6547  3 C 2.41
Ho 0.8849 0.8849 0.3453  3 C 2.41



## HoBeNiC (PBE)

Data for a relaxed HoBeNiC crystal.

Unit cell a=3.5520 b=3.5520 c=8.2682 alpha=90.00 beta=90.00 gamma=90.00
With the nearest neighbours (Å) after each atom.
Positions (direct):
Ho 0.0000 0.5000 0.8451  5 C 2.43-2.52
Ho 0.5000 0.0000 0.1549  5 C 2.43-2.52
Be 0.0000 0.5000 0.3417  1 C 1.67
Be 0.5000 0.0000 0.6583  1 C 1.67
Ni 0.0000 0.0000 0.5000  4 Be 2.21
Ni 0.5000 0.5000 0.5000  4 Be 2.21
C 0.5000 0.0000 0.8608  1 Be 1.67
C 0.0000 0.5000 0.1392  1 Be 1.67



## HoBeRu2C (PBE)

Data for a relaxed HoBeRu2C crystal.

Unit cell a=3.7632 b=5.6606 c=7.0176 alpha=90.00 beta=90.00 gamma=109.41
With the nearest neighbours (Å) after each atom.
Positions (direct):
Ho 0.4557 0.9113 0.7500  4 C 2.62, 1 Be 2.92
Ho 0.5443 0.0887 0.2500  4 C 2.62, 1 Be 2.92
Be 0.7289 0.4578 0.7500  6 Ru 2.39-2.40
Be 0.2711 0.5422 0.2500  6 Ru 2.39-2.40
Ru 0.1729 0.3457 0.9426  1 C 1.89
Ru 0.8271 0.6543 0.0574  1 C 1.89
Ru 0.1729 0.3457 0.5574  1 C 1.89
Ru 0.8271 0.6543 0.4426  1 C 1.89
C 0.0000 0.0000 0.0000  2 Ru 1.89
C 0.0000 0.0000 0.5000  2 Ru 1.89



no.,calculated total energy (eV/atom),magnetic moment (μB/f.u.),DOS(E_F) (states/eV per atom)
1,-5.113,0.00,0.699
2,-6.050,0.00,0.674
3,-7.571,0.00,0.506